# Tb3Sm3Pd2 | Alexandria | PBE-GGA | optimized geometry
data_Tb3Sm3Pd2
_chemical_formula_sum 'Tb12 Sm12 Pd8'
_cell_length_a 3.907
_cell_length_b 12.883
_cell_length_c 18.132
_cell_angle_alpha 90.00
_cell_angle_beta 90.00
_cell_angle_gamma 90.00
_symmetry_space_group_name_H-M 'C m c m'
_symmetry_Int_Tables_number 63
_symmetry_space_group_name_Hall '-C 2c 2'
loop_
_atom_site_label
_atom_site_type_symbol
_atom_site_fract_x
_atom_site_fract_y
_atom_site_fract_z
_atom_site_occupancy
Tb1 Tb 0.000 0.121 0.250 1
Tb2 Tb 0.000 0.153 0.542 1
Sm1 Sm 0.000 0.146 0.750 1
Sm2 Sm 0.000 0.449 0.606 1
Pd1 Pd 0.000 0.252 0.128 1
# Spin magnetization (μB per cell): 0.0
# Calculated total energy (eV per atom): -5.168
# Formation enthalpy at 0 K (eV/atom): -0.364



# CaAcPdRh | Alexandria | PBE-GGA | optimized geometry
data_CaAcPdRh
_chemical_formula_sum 'Ca2 Ac2 Pd2 Rh2'
_cell_length_a 4.295
_cell_length_b 4.097
_cell_length_c 11.357
_cell_angle_alpha 90.00
_cell_angle_beta 90.00
_cell_angle_gamma 90.00
_symmetry_space_group_name_H-M 'A m m 2'
_symmetry_Int_Tables_number 38
_symmetry_space_group_name_Hall 'A 2 -2'
loop_
_atom_site_label
_atom_site_type_symbol
_atom_site_fract_x
_atom_site_fract_y
_atom_site_fract_z
_atom_site_occupancy
Ca1 Ca 0.000 0.000 0.000 1
Ac1 Ac 0.500 0.000 0.722 1
Pd1 Pd 0.500 0.000 0.443 1
Rh1 Rh 0.000 0.000 0.281 1
# Spin magnetization (μB per cell): 0.0
# Calculated total energy (eV per atom): -5.337
# Formation enthalpy at 0 K (eV/atom): -0.674



# TbPm2Ho9 | Alexandria | PBE-GGA | optimized geometry
data_TbPm2Ho9
_chemical_formula_sum 'Tb1 Pm2 Ho9'
_cell_length_a 11.2237
_cell_length_b 11.2237
_cell_length_c 3.4898
_cell_angle_alpha 90.00
_cell_angle_beta 90.00
_cell_angle_gamma 120.00
_symmetry_space_group_name_H-M 'P 6/m m m'
_symmetry_Int_Tables_number 191
_symmetry_space_group_name_Hall '-P 6 2'
loop_
_atom_site_label
_atom_site_type_symbol
_atom_site_fract_x
_atom_site_fract_y
_atom_site_fract_z
_atom_site_occupancy
Tb1 Tb 0.0000 0.0000 0.0000 1
Pm1 Pm 0.3333 0.6667 0.0000 1
Ho1 Ho 0.0000 0.5000 0.0000 1
Ho2 Ho 0.1746 0.3492 0.5000 1
# Spin magnetization (μB per cell): 0.0
# Calculated total energy (eV per atom): -4.547
# Formation enthalpy at 0 K (eV/atom): 0.064



# TaTlRhO6 | Alexandria | PBE-GGA | optimized geometry
data_TaTlRhO6
_chemical_formula_sum 'Ta2 Tl2 Rh2 O12'
_cell_length_a 4.838
_cell_length_b 4.838
_cell_length_c 9.703
_cell_angle_alpha 90.00
_cell_angle_beta 90.00
_cell_angle_gamma 90.00
_symmetry_space_group_name_H-M 'P 42 n m'
_symmetry_Int_Tables_number 102
_symmetry_space_group_name_Hall 'P 4n -2n'
loop_
_atom_site_label
_atom_site_type_symbol
_atom_site_fract_x
_atom_site_fract_y
_atom_site_fract_z
_atom_site_occupancy
Ta1 Ta 0.000 0.000 0.000 1
Tl1 Tl 0.000 0.000 0.330 1
Rh1 Rh 0.000 0.000 0.662 1
O1 O 0.175 0.175 0.832 1
O2 O 0.206 0.206 0.513 1
O3 O 0.210 0.210 0.142 1
# Spin magnetization (μB per cell): 1.9
# Calculated total energy (eV per atom): -7.132



# Be2Cl | Alexandria | PBE-GGA | optimized geometry
data_Be2Cl
_chemical_formula_sum 'Be4 Cl2'
_cell_length_a 3.483
_cell_length_b 3.483
_cell_length_c 8.156
_cell_angle_alpha 90.00
_cell_angle_beta 90.00
_cell_angle_gamma 90.00
_symmetry_space_group_name_H-M 'P -4 21 m'
_symmetry_Int_Tables_number 113
_symmetry_space_group_name_Hall 'P -4 2ab'
loop_
_atom_site_label
_atom_site_type_symbol
_atom_site_fract_x
_atom_site_fract_y
_atom_site_fract_z
_atom_site_occupancy
Be1 Be 0.232 0.268 0.079 1
Cl1 Cl 0.000 0.500 0.286 1
# Spin magnetization (μB per cell): 0.0
# Calculated total energy (eV per atom): -3.432



# Ac2VCu | Alexandria | PBE-GGA | optimized geometry
data_Ac2VCu
_chemical_formula_sum 'Ac6 V3 Cu3'
_cell_length_a 3.7051
_cell_length_b 3.7051
_cell_length_c 31.8254
_cell_angle_alpha 90.00
_cell_angle_beta 90.00
_cell_angle_gamma 120.00
_symmetry_space_group_name_H-M 'R -3 m'
_symmetry_Int_Tables_number 166
_symmetry_space_group_name_Hall '-R 3 2"'
loop_
_atom_site_label
_atom_site_type_symbol
_atom_site_fract_x
_atom_site_fract_y
_atom_site_fract_z
_atom_site_occupancy
Ac1 Ac 0.0000 0.0000 0.0960 1
V1 V 0.0000 0.0000 0.0000 1
Cu1 Cu 0.0000 0.0000 0.5000 1
# Spin magnetization (μB per cell): 10.9
# Calculated total energy (eV per atom): -4.525
# Formation enthalpy at 0 K (eV/atom): 0.833



# Ba2GaHg | Alexandria | PBE-GGA | optimized geometry
data_Ba2GaHg
_chemical_formula_sum 'Ba2 Ga1 Hg1'
_cell_length_a 4.127
_cell_length_b 4.127
_cell_length_c 8.444
_cell_angle_alpha 90.00
_cell_angle_beta 90.00
_cell_angle_gamma 90.00
_symmetry_space_group_name_H-M 'P 4/m m m'
_symmetry_Int_Tables_number 123
_symmetry_space_group_name_Hall '-P 4 2'
loop_
_atom_site_label
_atom_site_type_symbol
_atom_site_fract_x
_atom_site_fract_y
_atom_site_fract_z
_atom_site_occupancy
Ba1 Ba 0.000 0.000 0.241 1
Ga1 Ga 0.500 0.500 0.000 1
Hg1 Hg 0.500 0.500 0.500 1
# Spin magnetization (μB per cell): 0.0
# Calculated total energy (eV per atom): -2.217
# Formation enthalpy at 0 K (eV/atom): -0.424



# Pm2Th2Ir3 | Alexandria | PBE-GGA | optimized geometry
data_Pm2Th2Ir3
_chemical_formula_sum 'Pm4 Th4 Ir6'
_cell_length_a 14.294
_cell_length_b 4.287
_cell_length_c 7.292
_cell_angle_alpha 90.00
_cell_angle_beta 119.34
_cell_angle_gamma 90.00
_symmetry_space_group_name_H-M 'C 1 2/m 1'
_symmetry_Int_Tables_number 12
_symmetry_space_group_name_Hall '-C 2y'
loop_
_atom_site_label
_atom_site_type_symbol
_atom_site_fract_x
_atom_site_fract_y
_atom_site_fract_z
_atom_site_occupancy
Pm1 Pm 0.133 0.000 0.475 1
Th1 Th 0.125 0.500 0.955 1
Ir1 Ir 0.000 0.000 0.000 1
Ir2 Ir 0.243 0.000 0.235 1
# Spin magnetization (μB per cell): 0.0
# Calculated total energy (eV per atom): -8.028
# Formation enthalpy at 0 K (eV/atom): -0.753



# HgGeH3 | Alexandria | PBE-GGA | optimized geometry
data_HgGeH3
_chemical_formula_sum 'Hg1 Ge1 H3'
_cell_length_a 3.898
_cell_length_b 3.898
_cell_length_c 3.898
_cell_angle_alpha 90.00
_cell_angle_beta 90.00
_cell_angle_gamma 90.00
_symmetry_space_group_name_H-M 'P m -3 m'
_symmetry_Int_Tables_number 221
_symmetry_space_group_name_Hall '-P 4 2 3'
loop_
_atom_site_label
_atom_site_type_symbol
_atom_site_fract_x
_atom_site_fract_y
_atom_site_fract_z
_atom_site_occupancy
Hg1 Hg 0.000 0.000 0.000 1
Ge1 Ge 0.500 0.500 0.500 1
H1 H 0.000 0.500 0.500 1
# Spin magnetization (μB per cell): 0.0
# Calculated total energy (eV per atom): -2.517



# SrBeO2 | Alexandria | PBE-GGA | optimized geometry
data_SrBeO2
_chemical_formula_sum 'Sr3 Be3 O6'
_cell_length_a 3.0359
_cell_length_b 3.0359
_cell_length_c 18.4990
_cell_angle_alpha 90.00
_cell_angle_beta 90.00
_cell_angle_gamma 120.00
_symmetry_space_group_name_H-M 'R -3 m'
_symmetry_Int_Tables_number 166
_symmetry_space_group_name_Hall '-R 3 2"'
loop_
_atom_site_label
_atom_site_type_symbol
_atom_site_fract_x
_atom_site_fract_y
_atom_site_fract_z
_atom_site_occupancy
Sr1 Sr 0.0000 0.0000 0.0000 1
Be1 Be 0.0000 0.0000 0.5000 1
O1 O 0.0000 0.0000 0.1188 1
# Spin magnetization (μB per cell): 0.4
# Calculated total energy (eV per atom): -4.795



# CoPS2N | Alexandria | PBE-GGA | optimized geometry
data_CoPS2N
_chemical_formula_sum 'Co1 P1 S2 N1'
_cell_length_a 4.229
_cell_length_b 4.486
_cell_length_c 4.759
_cell_angle_alpha 102.14
_cell_angle_beta 114.09
_cell_angle_gamma 104.36
_symmetry_space_group_name_H-M 'P 1'
_symmetry_Int_Tables_number 1
_symmetry_space_group_name_Hall 'P 1'
loop_
_atom_site_label
_atom_site_type_symbol
_atom_site_fract_x
_atom_site_fract_y
_atom_site_fract_z
_atom_site_occupancy
Co1 Co 0.000 0.000 0.000 1
P1 P 0.899 0.247 0.644 1
S1 S 0.269 0.446 0.425 1
S2 S 0.541 0.932 0.138 1
N1 N 0.720 0.542 0.677 1
# Spin magnetization (μB per cell): 0.0
# Calculated total energy (eV per atom): -5.830



# BaNdIn6 | Alexandria | PBE-GGA | optimized geometry
data_BaNdIn6
_chemical_formula_sum 'Ba1 Nd1 In6'
_cell_length_a 5.032
_cell_length_b 7.037
_cell_length_c 6.616
_cell_angle_alpha 90.00
_cell_angle_beta 90.00
_cell_angle_gamma 90.00
_symmetry_space_group_name_H-M 'P m m 2'
_symmetry_Int_Tables_number 25
_symmetry_space_group_name_Hall 'P 2 -2'
loop_
_atom_site_label
_atom_site_type_symbol
_atom_site_fract_x
_atom_site_fract_y
_atom_site_fract_z
_atom_site_occupancy
Ba1 Ba 0.000 0.000 0.000 1
Nd1 Nd 0.500 0.500 0.246 1
In1 In 0.000 0.272 0.475 1
In2 In 0.000 0.500 0.914 1
In3 In 0.500 0.000 0.384 1
In4 In 0.500 0.272 0.764 1
# Spin magnetization (μB per cell): 0.0
# Calculated total energy (eV per atom): -3.228
# Formation enthalpy at 0 K (eV/atom): -0.338



> Which of these has the highest spin magnetization?

Ac2VCu